No. 1
Material: NaSb
Method: DFT, GGA-PBE
State: optimized geometry

## Properties
Magnetic moment, μB per atom: 0.000
Electronic total energy, eV per atom: -2.870
Space-group type: P6_3/m

POSCAR file:
```
NaSb
1.0
10.972 0.000 0.000
-5.486 9.502 0.000
0.000 0.000 4.212
Na Sb
6 6
Direct
0.164 0.376 0.750
0.788 0.164 0.250
0.624 0.788 0.750
0.836 0.624 0.250
0.376 0.212 0.250
0.212 0.836 0.750
0.582 0.476 0.750
0.476 0.894 0.250
0.418 0.524 0.250
0.524 0.106 0.750
0.894 0.418 0.750
0.106 0.582 0.250
```

No. 2
Material: NaSb
Method: DFT, GGA-PBE
State: optimized geometry

## Properties
Magnetic moment, μB per atom: 0.000
Electronic total energy, eV per atom: -2.907
Space-group type: I4/m

POSCAR file:
```
NaSb
1.0
12.046 0.000 0.000
0.000 12.046 0.000
0.000 0.000 4.099
Na Sb
8 8
Direct
0.712 0.023 0.500
0.788 0.477 0.000
0.477 0.212 0.000
0.523 0.788 0.000
0.212 0.523 0.000
0.288 0.977 0.500
0.023 0.288 0.500
0.977 0.712 0.500
0.791 0.824 0.000
0.324 0.709 0.500
0.824 0.209 0.000
0.676 0.291 0.500
0.709 0.676 0.500
0.176 0.791 0.000
0.291 0.324 0.500
0.209 0.176 0.000
```